# Tl2CuSb4Au3 | the Alexandria database | GGA-PBE | relaxed
data_Tl2CuSb4Au3
_cell_length_a 4.627
_cell_length_b 4.627
_cell_length_c 11.997
_cell_angle_alpha 90.00
_cell_angle_beta 90.00
_cell_angle_gamma 90.00
_space_group_name_H-M_alt 'P 1'
_space_group_IT_number 1
loop_
_space_group_symop_operation_xyz
'x,y,z'
loop_
_atom_site_label
_atom_site_fract_x
_atom_site_fract_y
_atom_site_fract_z
Cu1 0.500 0.500 0.500
Sb1 0.000 0.500 0.374
Sb2 0.000 0.000 0.000
Sb3 0.500 0.000 0.626
Sb4 0.500 0.500 0.000
Au1 0.000 0.000 0.500
Au2 0.000 0.500 0.146
Au3 0.500 0.000 0.854
Tl1 0.500 0.000 0.262
Tl2 0.000 0.500 0.738
# Formation energy (no corrections): -0.01 eV/atom
# SG: No. 115
# Magnetic moment: 0.00 μB per formula unit
# Calculated total energy: -3.524 eV per atom

# VCuSbAu | the Alexandria database | GGA-PBE | relaxed
data_VCuSbAu
_cell_length_a 4.605
_cell_length_b 4.605
_cell_length_c 4.605
_cell_angle_alpha 60.00
_cell_angle_beta 60.00
_cell_angle_gamma 60.00
_space_group_name_H-M_alt 'P 1'
_space_group_IT_number 1
loop_
_space_group_symop_operation_xyz
'x,y,z'
loop_
_atom_site_label
_atom_site_fract_x
_atom_site_fract_y
_atom_site_fract_z
Sb1 0.250 0.250 0.250
V1 0.000 0.000 0.000
Au1 0.750 0.750 0.750
Cu1 0.500 0.500 0.500
# Formation energy (no corrections): 0.12 eV/atom
# SG: No. 216
# Magnetic moment: 2.39 μB per formula unit
# Calculated total energy: -5.030 eV per atom

# ScCu2Au | the Alexandria database | GGA-PBE | relaxed
data_ScCu2Au
_cell_length_a 3.867
_cell_length_b 4.072
_cell_length_c 4.095
_cell_angle_alpha 90.00
_cell_angle_beta 90.00
_cell_angle_gamma 90.00
_space_group_name_H-M_alt 'P 1'
_space_group_IT_number 1
loop_
_space_group_symop_operation_xyz
'x,y,z'
loop_
_atom_site_label
_atom_site_fract_x
_atom_site_fract_y
_atom_site_fract_z
Au1 0.000 0.500 0.500
Sc1 0.500 0.000 0.500
Cu1 0.500 0.500 0.000
Cu2 0.000 0.000 0.000
# SG: No. 47
# Magnetic moment: 0.00 μB per formula unit
# Calculated total energy: -4.685 eV per atom

# ScCuAu4 | the Alexandria database | GGA-PBE | relaxed
data_ScCuAu4
_cell_length_a 5.449
_cell_length_b 5.449
_cell_length_c 5.449
_cell_angle_alpha 60.00
_cell_angle_beta 60.00
_cell_angle_gamma 60.00
_space_group_name_H-M_alt 'P 1'
_space_group_IT_number 1
loop_
_space_group_symop_operation_xyz
'x,y,z'
loop_
_atom_site_label
_atom_site_fract_x
_atom_site_fract_y
_atom_site_fract_z
Au1 0.874 0.375 0.375
Au2 0.375 0.874 0.375
Au3 0.375 0.375 0.375
Au4 0.375 0.375 0.874
Sc1 0.000 0.000 0.000
Cu1 0.750 0.750 0.750
# SG: No. 216
# Magnetic moment: 0.00 μB per formula unit
# Calculated total energy: -4.063 eV per atom

# ScCuAu | the Alexandria database | GGA-PBE | relaxed
data_ScCuAu
_cell_length_a 4.946
_cell_length_b 4.946
_cell_length_c 3.452
_cell_angle_alpha 69.57
_cell_angle_beta 69.58
_cell_angle_gamma 40.85
_space_group_name_H-M_alt 'P 1'
_space_group_IT_number 1
loop_
_space_group_symop_operation_xyz
'x,y,z'
loop_
_atom_site_label
_atom_site_fract_x
_atom_site_fract_y
_atom_site_fract_z
Au1 0.999 0.999 0.001
Cu1 0.333 0.333 0.667
Sc1 0.668 0.668 0.332
# SG: No. 107
# Magnetic moment: 0.00 μB per formula unit
# Calculated total energy: -5.129 eV per atom

# ScCu2Au | the Alexandria database | GGA-PBE | relaxed
data_ScCu2Au
_cell_length_a 7.257
_cell_length_b 7.257
_cell_length_c 5.788
_cell_angle_alpha 51.18
_cell_angle_beta 51.18
_cell_angle_gamma 90.00
_space_group_name_H-M_alt 'P 1'
_space_group_IT_number 1
loop_
_space_group_symop_operation_xyz
'x,y,z'
loop_
_atom_site_label
_atom_site_fract_x
_atom_site_fract_y
_atom_site_fract_z
Cu1 0.640 0.125 0.250
Cu2 0.375 0.360 0.750
Cu3 0.110 0.625 0.250
Cu4 0.875 0.890 0.750
Sc1 0.250 0.750 0.500
Sc2 0.500 0.500 0.000
Au1 0.750 0.250 0.500
Au2 0.000 0.000 0.000
# SG: No. 122
# Magnetic moment: 0.00 μB per formula unit
# Calculated total energy: -4.421 eV per atom

# ScCu6Au6 | the Alexandria database | GGA-PBE | relaxed
data_ScCu6Au6
_cell_length_a 5.112
_cell_length_b 6.826
_cell_length_c 6.826
_cell_angle_alpha 82.33
_cell_angle_beta 68.01
_cell_angle_gamma 68.01
_space_group_name_H-M_alt 'P 1'
_space_group_IT_number 1
loop_
_space_group_symop_operation_xyz
'x,y,z'
loop_
_atom_site_label
_atom_site_fract_x
_atom_site_fract_y
_atom_site_fract_z
Cu1 0.000 0.500 0.000
Cu2 0.500 0.000 0.500
Cu3 0.500 0.500 0.000
Cu4 0.500 0.758 0.242
Cu5 0.500 0.242 0.758
Cu6 0.000 0.000 0.500
Au1 0.664 0.336 0.336
Au2 0.000 0.667 0.333
Au3 0.336 0.664 0.664
Au4 0.673 0.827 0.827
Au5 0.000 0.333 0.667
Au6 0.327 0.173 0.173
Sc1 0.000 0.000 0.000
# SG: No. 71
# Magnetic moment: 0.00 μB per formula unit
# Calculated total energy: -4.082 eV per atom

# ScCuAu2 | the Alexandria database | GGA-PBE | relaxed
data_ScCuAu2
_cell_length_a 7.880
_cell_length_b 7.880
_cell_length_c 7.880
_cell_angle_alpha 24.94
_cell_angle_beta 24.94
_cell_angle_gamma 24.94
_space_group_name_H-M_alt 'P 1'
_space_group_IT_number 1
loop_
_space_group_symop_operation_xyz
'x,y,z'
loop_
_atom_site_label
_atom_site_fract_x
_atom_site_fract_y
_atom_site_fract_z
Au1 0.503 0.503 0.503
Au2 0.997 0.997 0.997
Sc1 0.750 0.750 0.750
Cu1 0.250 0.250 0.250
# SG: No. 166
# Magnetic moment: 0.00 μB per formula unit
# Calculated total energy: -4.488 eV per atom

# Sc6Cu2Au | the Alexandria database | GGA-PBE | relaxed
data_Sc6Cu2Au
_cell_length_a 7.819
_cell_length_b 7.819
_cell_length_c 7.819
_cell_angle_alpha 108.27
_cell_angle_beta 110.77
_cell_angle_gamma 109.38
_space_group_name_H-M_alt 'P 1'
_space_group_IT_number 1
loop_
_space_group_symop_operation_xyz
'x,y,z'
loop_
_atom_site_label
_atom_site_fract_x
_atom_site_fract_y
_atom_site_fract_z
Sc1 0.201 0.756 0.957
Sc2 0.717 0.393 0.675
Sc3 0.458 0.275 0.183
Sc4 0.542 0.725 0.817
Sc5 0.283 0.607 0.325
Sc6 0.283 0.958 0.675
Sc7 0.908 0.725 0.183
Sc8 0.717 0.042 0.325
Sc9 0.201 0.244 0.445
Sc10 0.799 0.756 0.555
Sc11 0.092 0.275 0.817
Sc12 0.799 0.244 0.043
Cu1 0.639 0.000 0.639
Cu2 0.361 0.000 0.361
Cu3 0.500 0.370 0.870
Cu4 0.500 0.630 0.130
Au1 0.000 0.000 0.000
Au2 0.000 0.500 0.500
# SG: No. 71
# Magnetic moment: 0.00 μB per formula unit
# Calculated total energy: -5.806 eV per atom

# Sc5Cu4Au | the Alexandria database | GGA-PBE | relaxed
data_Sc5Cu4Au
_cell_length_a 3.272
_cell_length_b 3.272
_cell_length_c 16.651
_cell_angle_alpha 90.00
_cell_angle_beta 90.00
_cell_angle_gamma 90.00
_space_group_name_H-M_alt 'P 1'
_space_group_IT_number 1
loop_
_space_group_symop_operation_xyz
'x,y,z'
loop_
_atom_site_label
_atom_site_fract_x
_atom_site_fract_y
_atom_site_fract_z
Sc1 0.500 0.500 0.500
Sc2 0.500 0.500 0.304
Sc3 0.500 0.500 0.107
Sc4 0.500 0.500 0.696
Sc5 0.500 0.500 0.893
Cu1 0.000 0.000 0.598
Cu2 0.000 0.000 0.402
Cu3 0.000 0.000 0.206
Cu4 0.000 0.000 0.794
Au1 0.000 0.000 0.000
# SG: No. 123
# Magnetic moment: 0.00 μB per formula unit
# Calculated total energy: -5.514 eV per atom

# Sc4Cu3Au | the Alexandria database | GGA-PBE | relaxed
data_Sc4Cu3Au
_cell_length_a 3.300
_cell_length_b 4.673
_cell_length_c 9.334
_cell_angle_alpha 90.00
_cell_angle_beta 90.00
_cell_angle_gamma 90.00
_space_group_name_H-M_alt 'P 1'
_space_group_IT_number 1
loop_
_space_group_symop_operation_xyz
'x,y,z'
loop_
_atom_site_label
_atom_site_fract_x
_atom_site_fract_y
_atom_site_fract_z
Sc1 0.000 0.500 0.258
Sc2 0.000 0.000 0.000
Sc3 0.000 0.000 0.500
Sc4 0.000 0.500 0.742
Cu1 0.500 0.000 0.746
Cu2 0.500 0.000 0.254
Cu3 0.500 0.500 0.500
Au1 0.500 0.500 0.000
# SG: No. 47
# Magnetic moment: 0.00 μB per formula unit
# Calculated total energy: -5.520 eV per atom

# Sc3CuAu | the Alexandria database | GGA-PBE | relaxed
data_Sc3CuAu
_cell_length_a 4.887
_cell_length_b 4.887
_cell_length_c 4.887
_cell_angle_alpha 90.00
_cell_angle_beta 90.00
_cell_angle_gamma 90.00
_space_group_name_H-M_alt 'P 1'
_space_group_IT_number 1
loop_
_space_group_symop_operation_xyz
'x,y,z'
loop_
_atom_site_label
_atom_site_fract_x
_atom_site_fract_y
_atom_site_fract_z
Sc1 0.000 0.500 0.000
Sc2 0.000 0.000 0.500
Sc3 0.500 0.000 0.000
Cu1 0.000 0.000 0.000
Au1 0.500 0.500 0.500
# SG: No. 221
# Magnetic moment: 0.40 μB per formula unit
# Calculated total energy: -5.187 eV per atom

| no. | DOS at the Fermi energy (states/eV per atom) |
| --- | --- |
| 1 | 0.404 |
| 2 | 0.594 |
| 3 | 0.687 |
| 4 | 0.810 |
| 5 | 0.294 |
| 6 | 0.569 |
| 7 | 0.400 |
| 8 | 0.353 |
| 9 | 1.123 |
| 10 | 0.625 |
| 11 | 0.568 |
| 12 | 2.436 |